Model w:
First-principles (PBE) data for a geometry-optimized AcCeTl structure, as listed in Alexandria via LeMat-Bulk.

Output
Fermi-level density of states ... 2.1637 states/eV/atom
Calculated volume ... 33.9 A^3/atom
Symmetry ... P2_1/m
Magnetic moment ... 0.358 μB per atom

a b c (Å): 4.558 3.684 12.122
angles (deg): 90.02 90.00 90.00
Each line ends with the local moment (μB).
Positions (direct):
Ac: 0.750 0.499 0.635  0.10
Ac: 0.250 0.501 0.365  0.10
Ce: 0.250 0.500 0.071  0.72
Ce: 0.750 0.500 0.929  0.72
Tl: 0.250 0.000 0.802  0.00
Tl: 0.750 0.000 0.198  0.00

***

Model x:
First-principles (PBE) data for a geometry-optimized AcCeTl structure, as listed in Alexandria via LeMat-Bulk.

Output
Fermi-level density of states ... 2.4300 states/eV/atom
Calculated volume ... 34.1 A^3/atom
Symmetry ... P3m1
Magnetic moment ... 0.511 μB per atom

a b c (Å): 3.865 5.530 5.530
angles (deg): 120.00 90.00 90.00
Each line ends with the local moment (μB).
Positions (direct):
Ac: 0.652 0.667 0.333  0.09
Tl: 0.265 0.333 0.667  -0.01
Ce: 0.083 0.000 0.000  1.04

***

Model y:
First-principles (PBE) data for a geometry-optimized AcCeTl structure, as listed in Alexandria via LeMat-Bulk.

Output
Fermi-level density of states ... 2.9408 states/eV/atom
Calculated volume ... 34.6 A^3/atom
Symmetry ... I4mm
Magnetic moment ... 0.570 μB per atom

a b c (Å): 4.100 4.100 6.816
angles (deg): 107.51 107.51 90.00
Each line ends with the local moment (μB).
Positions (direct):
Ac: 0.939 0.939 0.878  0.11
Tl: 0.272 0.272 0.544  0.01
Ce: 0.639 0.639 0.278  1.01

***

Model z:
First-principles (PBE) data for a geometry-optimized AcCeTl structure, as listed in Alexandria via LeMat-Bulk.

Output
Fermi-level density of states ... 2.2754 states/eV/atom
Calculated volume ... 34.9 A^3/atom
Symmetry ... P4/nmm
Magnetic moment ... 0.525 μB per atom

a b c (Å): 4.842 4.842 8.922
angles (deg): 90.00 90.00 90.00
Each line ends with the local moment (μB).
Positions (direct):
Ac: 0.000 0.500 0.856  0.08
Ac: 0.500 0.000 0.144  0.08
Ce: 0.500 0.500 0.500  0.96
Ce: 0.000 0.000 0.500  0.96
Tl: 0.000 0.500 0.244  -0.01
Tl: 0.500 0.000 0.756  -0.01

***

What should be chosen as the least stable of them? Choose model x.

***

Model w:
First-principles (PBE) data for a geometry-optimized AcCe2Tl structure, as listed in Alexandria via LeMat-Bulk.

Output
Fermi-level density of states ... 3.4545 states/eV/atom
Calculated volume ... 32.6 A^3/atom
Symmetry ... P4/mmm
Magnetic moment ... 0.440 μB per atom

a b c (Å): 3.751 3.751 9.270
angles (deg): 90.00 90.00 90.00
Each line ends with the local moment (μB).
Positions (direct):
Ac: 0.500 0.500 0.500  0.01
Tl: 0.500 0.500 0.000  0.01
Ce: 0.000 0.000 0.776  0.74
Ce: 0.000 0.000 0.224  0.74

***

Model x:
First-principles (PBE) data for a geometry-optimized AcCe2Tl structure, as listed in Alexandria via LeMat-Bulk.

Output
Fermi-level density of states ... 3.1008 states/eV/atom
Calculated volume ... 31.7 A^3/atom
Symmetry ... P4/mmm
Magnetic moment ... 0.637 μB per atom

a b c (Å): 5.144 4.967 4.967
angles (deg): 90.00 90.00 90.00
Each line ends with the local moment (μB).
Positions (direct):
Ac: 0.500 0.500 0.500  0.08
Tl: 0.500 0.000 0.000  -0.01
Ce: 0.000 0.000 0.500  0.92
Ce: 0.000 0.500 0.000  0.92

***

What should be chosen as the least stable of them? Choose model w.

***

Model w:
First-principles (PBE) data for a geometry-optimized AcCeTm structure, as listed in Alexandria via LeMat-Bulk.

Output
Fermi-level density of states ... 2.3112 states/eV/atom
Calculated volume ... 34.5 A^3/atom
Symmetry ... I4mm
Magnetic moment ... 0.266 μB per atom

a b c (Å): 3.697 3.697 8.013
angles (deg): 103.34 103.34 90.00
Each line ends with the local moment (μB).
Positions (direct):
Ac: 0.997 0.997 0.994  0.00
Tm: 0.676 0.676 0.352  0.04
Ce: 0.327 0.327 0.654  0.61

***

Model x:
First-principles (PBE) data for a geometry-optimized AcCeTm structure, as listed in Alexandria via LeMat-Bulk.

Output
Fermi-level density of states ... 2.4826 states/eV/atom
Calculated volume ... 34.6 A^3/atom
Symmetry ... P3m1
Magnetic moment ... 0.356 μB per atom

a b c (Å): 3.677 3.677 8.874
angles (deg): 90.00 90.00 120.00
Each line ends with the local moment (μB).
Positions (direct):
Ac: 0.000 0.000 0.999  0.00
Tm: 0.667 0.333 0.344  0.08
Ce: 0.333 0.667 0.657  0.76

***

What should be chosen as the least stable of them? Choose model x.

***

Model w:
First-principles (PBE) data for a geometry-optimized Ac2CeTm structure, as listed in Alexandria via LeMat-Bulk.

Output
Fermi-level density of states ... 3.2492 states/eV/atom
Calculated volume ... 37.9 A^3/atom
Symmetry ... Fm-3m
Magnetic moment ... 0.615 μB per atom

a b c (Å): 5.984 5.984 5.984
angles (deg): 60.00 60.00 60.00
Each line ends with the local moment (μB).
Positions (direct):
Ac: 0.250 0.250 0.250  0.13
Ac: 0.750 0.750 0.750  0.13
Tm: 0.500 0.500 0.500  0.24
Ce: 0.000 0.000 0.000  1.08

***

Model x:
First-principles (PBE) data for a geometry-optimized Ac2CeTm structure, as listed in Alexandria via LeMat-Bulk.

Output
Fermi-level density of states ... 2.6883 states/eV/atom
Calculated volume ... 38.1 A^3/atom
Symmetry ... R-3m
Magnetic moment ... 0.373 μB per atom

a b c (Å): 3.680 3.680 13.164
angles (deg): 81.96 81.96 60.00
Each line ends with the local moment (μB).
Positions (direct):
Ac: 0.089 0.089 0.733  0.02
Ac: 0.911 0.911 0.267  0.02
Tm: 0.500 0.500 0.500  0.00
Ce: 0.000 0.000 0.000  1.06

***

Model y:
First-principles (PBE) data for a geometry-optimized Ac2CeTm structure, as listed in Alexandria via LeMat-Bulk.

Output
Fermi-level density of states ... 2.3704 states/eV/atom
Calculated volume ... 37.1 A^3/atom
Symmetry ... P4/mmm
Magnetic moment ... 0.282 μB per atom

a b c (Å): 5.178 5.355 5.355
angles (deg): 90.00 90.00 90.00
Each line ends with the local moment (μB).
Positions (direct):
Ac: 0.000 0.000 0.500  0.02
Ac: 0.000 0.500 0.000  0.02
Tm: 0.500 0.500 0.500  0.03
Ce: 0.500 0.000 0.000  0.84

***

Model z:
First-principles (PBE) data for a geometry-optimized Ac2CeTm structure, as listed in Alexandria via LeMat-Bulk.

Output
Fermi-level density of states ... 2.4223 states/eV/atom
Calculated volume ... 36.9 A^3/atom
Symmetry ... P4/mmm
Magnetic moment ... 0.292 μB per atom

a b c (Å): 3.780 3.780 10.341
angles (deg): 90.00 90.00 90.00
Each line ends with the local moment (μB).
Positions (direct):
Ac: 0.000 0.000 0.752  0.02
Ac: 0.000 0.000 0.248  0.02
Tm: 0.500 0.500 0.000  -0.04
Ce: 0.500 0.500 0.500  0.88

***

What should be chosen as the least stable of them? Choose model x.

***

Model w:
First-principles (PBE) data for a geometry-optimized AcCeTm2 structure, as listed in Alexandria via LeMat-Bulk.

Output
Fermi-level density of states ... 1.8002 states/eV/atom
Calculated volume ... 33.4 A^3/atom
Symmetry ... P4/mmm
Magnetic moment ... 0.138 μB per atom

a b c (Å): 3.691 3.691 9.796
angles (deg): 90.00 90.00 90.00
Each line ends with the local moment (μB).
Positions (direct):
Ac: 0.500 0.500 0.500  -0.01
Tm: 0.000 0.000 0.770  0.00
Tm: 0.000 0.000 0.230  0.00
Ce: 0.500 0.500 0.000  0.51

***

Model x:
First-principles (PBE) data for a geometry-optimized AcCeTm2 structure, as listed in Alexandria via LeMat-Bulk.

Output
Fermi-level density of states ... 2.2190 states/eV/atom
Calculated volume ... 34.2 A^3/atom
Symmetry ... Fm-3m
Magnetic moment ... 0.142 μB per atom

a b c (Å): 5.781 5.781 5.781
angles (deg): 60.00 60.00 60.00
Each line ends with the local moment (μB).
Positions (direct):
Ac: 0.500 0.500 0.500  -0.02
Tm: 0.250 0.250 0.250  -0.03
Tm: 0.750 0.750 0.750  -0.03
Ce: 0.000 0.000 0.000  0.64

***

Model y:
First-principles (PBE) data for a geometry-optimized AcCeTm2 structure, as listed in Alexandria via LeMat-Bulk.

Output
Fermi-level density of states ... 2.0801 states/eV/atom
Calculated volume ... 33.3 A^3/atom
Symmetry ... R3m
Magnetic moment ... 0.168 μB per atom

a b c (Å): 3.633 3.633 11.855
angles (deg): 81.19 81.19 60.00
Each line ends with the local moment (μB).
Positions (direct):
Ac: 0.500 0.500 0.499  -0.01
Ce: 0.666 0.666 0.001  0.56
Tm: 0.078 0.078 0.765  -0.01
Tm: 0.255 0.255 0.236  0.02

***

Model z:
First-principles (PBE) data for a geometry-optimized AcCeTm2 structure, as listed in Alexandria via LeMat-Bulk.

Output
Fermi-level density of states ... 1.8430 states/eV/atom
Calculated volume ... 33.5 A^3/atom
Symmetry ... R-3m
Magnetic moment ... 0.030 μB per atom

a b c (Å): 3.528 3.528 12.607
angles (deg): 81.96 81.96 60.00
Each line ends with the local moment (μB).
Positions (direct):
Ac: 0.000 0.000 0.000  0.00
Tm: 0.094 0.094 0.718  0.00
Tm: 0.906 0.906 0.282  0.00
Ce: 0.500 0.500 0.500  0.11

***

What should be chosen as the least stable of them? Choose model z.

***

Model w:
First-principles (PBE) data for a geometry-optimized Ac2CeY structure, as listed in Alexandria via LeMat-Bulk.

Output
Fermi-level density of states ... 3.1878 states/eV/atom
Calculated volume ... 38.5 A^3/atom
Symmetry ... Fm-3m
Magnetic moment ... 0.659 μB per atom

a b c (Å): 6.017 6.017 6.017
angles (deg): 60.00 60.00 60.00
Each line ends with the local moment (μB).
Positions (direct):
Y: 0.000 0.000 0.000  0.20
Ac: 0.250 0.250 0.250  0.15
Ac: 0.750 0.750 0.750  0.15
Ce: 0.500 0.500 0.500  1.09

***

Model x:
First-principles (PBE) data for a geometry-optimized Ac2CeY structure, as listed in Alexandria via LeMat-Bulk.

Output
Fermi-level density of states ... 2.6690 states/eV/atom
Calculated volume ... 38.8 A^3/atom
Symmetry ... R-3m
Magnetic moment ... 0.382 μB per atom

a b c (Å): 3.703 3.703 13.245
angles (deg): 81.97 81.97 60.00
Each line ends with the local moment (μB).
Positions (direct):
Y: 0.500 0.500 0.500  0.00
Ac: 0.088 0.088 0.735  0.02
Ac: 0.912 0.912 0.265  0.02
Ce: 0.000 0.000 0.000  1.08

***

What should be chosen as the least stable of them? Choose model x.

***

Model w:
First-principles (PBE) data for a geometry-optimized AcCeY structure, as listed in Alexandria via LeMat-Bulk.

Output
Fermi-level density of states ... 1.9446 states/eV/atom
Calculated volume ... 35.7 A^3/atom
Symmetry ... Cmcm
Magnetic moment ... 0.001 μB per atom

a b c (Å): 5.871 4.128 9.304
angles (deg): 90.00 108.39 90.00
Positions (direct):
Ce: 0.452 0.750 0.903
Ce: 0.548 0.250 0.097
Ac: 0.724 0.750 0.449
Ac: 0.276 0.250 0.551
Y: 0.915 0.250 0.831
Y: 0.085 0.750 0.169

***

Model x:
First-principles (PBE) data for a geometry-optimized AcCeY structure, as listed in Alexandria via LeMat-Bulk.

Output
Fermi-level density of states ... 2.4485 states/eV/atom
Calculated volume ... 35.3 A^3/atom
Symmetry ... I4mm
Magnetic moment ... 0.261 μB per atom

a b c (Å): 3.716 3.716 8.115
angles (deg): 103.24 103.24 90.00
Each line ends with the local moment (μB).
Positions (direct):
Y: 0.324 0.324 0.649  0.02
Ac: 0.004 0.004 0.009  0.00
Ce: 0.671 0.671 0.342  0.61

***

Model y:
First-principles (PBE) data for a geometry-optimized AcCeY structure, as listed in Alexandria via LeMat-Bulk.

Output
Fermi-level density of states ... 2.5809 states/eV/atom
Calculated volume ... 35.7 A^3/atom
Symmetry ... P-6m2
Magnetic moment ... 0.425 μB per atom

a b c (Å): 3.608 5.854 5.854
angles (deg): 120.00 90.00 90.00
Each line ends with the local moment (μB).
Positions (direct):
Y: 0.667 0.667 0.333  0.04
Ac: 0.166 0.000 0.000  0.04
Ce: 0.167 0.333 0.667  0.82

***

What should be chosen as the least stable of them? Choose model y.

***

Model w:
First-principles (PBE) data for a geometry-optimized AcCeZr2 structure, as listed in Alexandria via LeMat-Bulk.

Output
Fermi-level density of states ... 1.4322 states/eV/atom
Calculated volume ... 29.3 A^3/atom
Symmetry ... P4/mmm
Magnetic moment ... 0.000 μB per atom

a b c (Å): 3.967 3.967 7.447
angles (deg): 90.00 90.00 90.00
Positions (direct):
Ac: 0.500 0.500 0.500
Zr: 0.000 0.000 0.803
Zr: 0.000 0.000 0.197
Ce: 0.500 0.500 0.000

***

Model x:
First-principles (PBE) data for a geometry-optimized AcCeZr2 structure, as listed in Alexandria via LeMat-Bulk.

Output
Fermi-level density of states ... 1.3370 states/eV/atom
Calculated volume ... 33.2 A^3/atom
Symmetry ... R-3m
Magnetic moment ... 0.000 μB per atom

a b c (Å): 4.030 4.030 9.716
angles (deg): 78.03 78.03 60.00
Positions (direct):
Ac: 0.000 0.000 0.000
Zr: 0.119 0.119 0.643
Zr: 0.881 0.881 0.357
Ce: 0.500 0.500 0.500

***

What should be chosen as the least stable of them? Choose model x.